Record 1
WBr4 | meta-GGA SCAN | single point on PBEsol structure

Summary:
SG: C2/m (12)
ΔE_f (raw), eV/atom: -0.455

Unit cell a=7.0551 b=7.0551 c=8.6200 alpha=125.18 beta=125.18 gamma=57.23
Closest atoms and distances in Å follow each position.
Fractional coordinates of all 10 atoms:
W  0.2014  0.7986  0.0000  6 Br 2.44-2.65, 1 W 2.72
W  0.7986  0.2014  0.0000  6 Br 2.44-2.65, 1 W 2.72
Br  0.2086  0.7340  0.6929  1 W 2.44
Br  0.2219  0.2219  0.1833  2 W 2.49
Br  0.2660  0.7914  0.3071  1 W 2.44
Br  0.3171  0.3171  0.8487  2 W 2.65
Br  0.6829  0.6829  0.1513  2 W 2.65
Br  0.7340  0.2086  0.6929  1 W 2.44
Br  0.7781  0.7781  0.8167  2 W 2.49
Br  0.7914  0.2660  0.3071  1 W 2.44


Record 2
Li5CuH2O4 | meta-GGA SCAN | single point on PBEsol structure

Summary:
SG: Pnma (62)
E_tot, eV/cell: -314.167

Unit cell a=5.3546 b=7.3503 c=10.5244 alpha=90.00 beta=90.00 gamma=90.00
Closest atoms and distances in Å follow each position.
Fractional coordinates of all 48 atoms:
Li  0.0611  0.2500  0.0471  4 O 1.87-2.08
Li  0.0620  0.7500  0.7206  4 O 2.01-2.21
Li  0.0902  0.7500  0.2112  2 O 1.93-1.96
Li  0.2046  0.5055  0.8460  4 O 1.90-2.03
Li  0.2046  0.9945  0.8460  4 O 1.90-2.03
Li  0.2954  0.0055  0.3460  4 O 1.90-2.03
Li  0.2954  0.4945  0.3460  4 O 1.90-2.03
Li  0.4098  0.2500  0.7112  2 O 1.93-1.96
Li  0.4380  0.2500  0.2206  4 O 2.01-2.21
Li  0.4389  0.7500  0.5471  4 O 1.87-2.08
Li  0.5611  0.2500  0.4529  4 O 1.87-2.08
Li  0.5620  0.7500  0.7794  4 O 2.01-2.21
Li  0.5902  0.7500  0.2888  2 O 1.93-1.96
Li  0.7046  0.5055  0.6540  4 O 1.90-2.03
Li  0.7046  0.9945  0.6540  4 O 1.90-2.03
Li  0.7954  0.0055  0.1540  4 O 1.90-2.03
Li  0.7954  0.4945  0.1540  4 O 1.90-2.03
Li  0.9098  0.2500  0.7888  2 O 1.93-1.96
Li  0.9380  0.2500  0.2794  4 O 2.01-2.21
Li  0.9389  0.7500  0.9529  4 O 1.87-2.08
Cu  0.0020  0.2500  0.5256  2 O 1.78-1.80
Cu  0.4980  0.7500  0.0256  2 O 1.78-1.80
Cu  0.5020  0.2500  0.9744  2 O 1.78-1.80
Cu  0.9980  0.7500  0.4744  2 O 1.78-1.80
H  0.2263  0.0166  0.6045  1 O 0.99
H  0.2263  0.4834  0.6045  1 O 0.99
H  0.2737  0.5166  0.1045  1 O 0.99
H  0.2737  0.9834  0.1045  1 O 0.99
H  0.7263  0.0166  0.8955  1 O 0.99
H  0.7263  0.4834  0.8955  1 O 0.99
H  0.7737  0.5166  0.3955  1 O 0.99
H  0.7737  0.9834  0.3955  1 O 0.99
O  0.1697  0.0430  0.1700  1 H 0.99
O  0.1697  0.4570  0.1700  1 H 0.99
O  0.2268  0.2500  0.4013  1 Cu 1.78, 3 Li 1.87-1.92
O  0.2296  0.2500  0.8735  1 Cu 1.80, 4 Li 1.90-1.96
O  0.2704  0.7500  0.3735  1 Cu 1.80, 4 Li 1.90-1.96
O  0.2732  0.7500  0.9013  1 Cu 1.78, 3 Li 1.87-1.92
O  0.3303  0.5430  0.6700  1 H 0.99
O  0.3303  0.9570  0.6700  1 H 0.99
O  0.6697  0.0430  0.3300  1 H 0.99
O  0.6697  0.4570  0.3300  1 H 0.99
O  0.7268  0.2500  0.0987  1 Cu 1.78, 3 Li 1.87-1.92
O  0.7296  0.2500  0.6265  1 Cu 1.80, 4 Li 1.90-1.96
O  0.7704  0.7500  0.1265  1 Cu 1.80, 4 Li 1.90-1.96
O  0.7732  0.7500  0.5987  1 Cu 1.78, 3 Li 1.87-1.92
O  0.8303  0.5430  0.8300  1 H 0.99
O  0.8303  0.9570  0.8300  1 H 0.99


Record 3
Sr2MgZn | meta-GGA SCAN | single point on PBEsol structure

Summary:
Energy relative to the elements, meV/atom: -126.4
SG: P4/mmm (123)
Distance to the lowest polymorph of the same formula, meV/atom: 0.0

Unit cell a=3.9309 b=3.9309 c=8.1208 alpha=90.00 beta=90.00 gamma=90.00
Closest atoms and distances in Å follow each position.
Fractional coordinates of all 4 atoms:
Sr  0.0000  0.0000  0.2263  4 Zn 3.33, 4 Mg 3.56, 1 Sr 3.68
Sr  0.0000  0.0000  0.7737  4 Zn 3.33, 4 Mg 3.56, 1 Sr 3.68
Mg  0.5000  0.5000  0.5000  8 Sr 3.56, 4 Mg 3.93
Zn  0.5000  0.5000  0.0000  8 Sr 3.33


Record 4
Tl2CdCl | meta-GGA SCAN | single point on PBEsol structure

Summary:
SG: R-3m (166)
ΔE_f (raw), eV/atom: -0.357
Distance to the lowest polymorph of the same formula, meV/atom: 65.0

Unit cell a=3.6378 b=3.6378 c=28.0728 alpha=90.00 beta=90.00 gamma=120.00
Closest atoms and distances in Å follow each position.
Fractional coordinates of all 12 atoms:
Tl  0.0000  0.0000  0.2454  3 Cl 3.05, 3 Cd 3.24
Tl  0.0000  0.0000  0.7546  3 Cl 3.05, 3 Cd 3.24
Tl  0.3333  0.6667  0.4213  3 Cl 3.05, 3 Cd 3.24
Tl  0.3333  0.6667  0.9121  3 Cl 3.05, 3 Cd 3.24
Tl  0.6667  0.3333  0.0879  3 Cl 3.05, 3 Cd 3.24
Tl  0.6667  0.3333  0.5787  3 Cl 3.05, 3 Cd 3.24
Cd  0.0000  0.0000  0.0000  6 Tl 3.24
Cd  0.3333  0.6667  0.6667  6 Tl 3.24
Cd  0.6667  0.3333  0.3333  6 Tl 3.24
Cl  0.0000  0.0000  0.5000  6 Tl 3.05
Cl  0.3333  0.6667  0.1667  6 Tl 3.05
Cl  0.6667  0.3333  0.8333  6 Tl 3.05


Record 5
MnSbTe2 | meta-GGA SCAN | single point on PBEsol structure

Summary:
SG: R-3m (166)
ΔE_f (raw), eV/atom: -0.051

Unit cell a=3.5126 b=3.5126 c=26.3903 alpha=90.00 beta=90.00 gamma=120.00
Closest atoms and distances in Å follow each position.
Fractional coordinates of all 12 atoms:
Mn  0.0000  0.0000  0.0000  6 Te 2.61
Mn  0.3333  0.6667  0.6667  6 Te 2.61
Mn  0.6667  0.3333  0.3333  6 Te 2.61
Sb  0.0000  0.0000  0.5000  6 Te 3.43, 6 Sb 3.51
Sb  0.3333  0.6667  0.1667  6 Te 3.43, 6 Sb 3.51
Sb  0.6667  0.3333  0.8333  6 Te 3.43, 6 Sb 3.51
Te  0.0000  0.0000  0.2714  3 Mn 2.61
Te  0.0000  0.0000  0.7286  3 Mn 2.61
Te  0.3333  0.6667  0.3953  3 Mn 2.61
Te  0.3333  0.6667  0.9380  3 Mn 2.61
Te  0.6667  0.3333  0.0620  3 Mn 2.61
Te  0.6667  0.3333  0.6047  3 Mn 2.61


Record 6
Al6Fe | meta-GGA SCAN | single point on PBEsol structure

Summary:
Energy relative to the elements, meV/atom: -178.8
SG: Cmcm (63)

Unit cell a=4.8897 b=4.8897 c=8.7081 alpha=90.00 beta=90.00 gamma=82.11
Closest atoms and distances in Å follow each position.
Fractional coordinates of all 14 atoms:
Al  0.0278  0.6089  0.2500  2 Fe 2.50-2.59, 3 Al 2.68-2.76
Al  0.1473  0.8527  0.5987  1 Fe 2.41, 2 Al 2.56-2.64
Al  0.1473  0.8527  0.9013  1 Fe 2.41, 2 Al 2.56-2.64
Al  0.3231  0.3231  0.0000  2 Fe 2.55, 7 Al 2.61-2.76
Al  0.3231  0.3231  0.5000  2 Fe 2.55, 7 Al 2.61-2.76
Al  0.3911  0.9722  0.2500  2 Fe 2.50-2.59, 3 Al 2.68-2.76
Al  0.6089  0.0278  0.7500  2 Fe 2.50-2.59, 3 Al 2.68-2.76
Al  0.6769  0.6769  0.0000  2 Fe 2.55, 7 Al 2.61-2.76
Al  0.6769  0.6769  0.5000  2 Fe 2.55, 7 Al 2.61-2.76
Al  0.8527  0.1473  0.0987  1 Fe 2.41, 2 Al 2.56-2.64
Al  0.8527  0.1473  0.4013  1 Fe 2.41, 2 Al 2.56-2.64
Al  0.9722  0.3911  0.7500  2 Fe 2.50-2.59, 3 Al 2.68-2.76
Fe  0.4612  0.5388  0.7500  10 Al 2.41-2.59
Fe  0.5388  0.4612  0.2500  10 Al 2.41-2.59


Record 7
Mn2ZnAg | meta-GGA SCAN | single point on PBEsol structure

Summary:
Energy relative to the elements, meV/atom: 110.9
SG: C2/m (12)

Unit cell a=9.0573 b=2.6650 c=4.5714 alpha=90.00 beta=100.02 gamma=90.00
Closest atoms and distances in Å follow each position.
Fractional coordinates of all 8 atoms:
Mn  0.2469  0.0000  0.2318  6 Mn 2.51-2.78, 3 Zn 2.66-2.69, 3 Ag 2.73-2.75
Mn  0.2531  0.5000  0.7682  6 Mn 2.51-2.78, 3 Zn 2.66-2.69, 3 Ag 2.73-2.75
Mn  0.7469  0.5000  0.2318  6 Mn 2.51-2.78, 3 Zn 2.66-2.69, 3 Ag 2.73-2.75
Mn  0.7531  0.0000  0.7682  6 Mn 2.51-2.78, 3 Zn 2.66-2.69, 3 Ag 2.73-2.75
Zn  0.0000  0.5000  0.0000  4 Ag 2.65, 6 Mn 2.66-2.69, 2 Zn 2.66
Zn  0.5000  0.0000  0.0000  4 Ag 2.65, 6 Mn 2.66-2.69, 2 Zn 2.66
Ag  0.0000  0.0000  0.5000  4 Zn 2.65, 2 Ag 2.66, 6 Mn 2.73-2.75
Ag  0.5000  0.5000  0.5000  4 Zn 2.65, 2 Ag 2.66, 6 Mn 2.73-2.75


Record 8
NaAs2P2 | meta-GGA SCAN | single point on PBEsol structure

Summary:
Energy relative to the elements, meV/atom: 56.2
SG: P4/mbm (127)

Unit cell a=7.9128 b=7.9128 c=3.3647 alpha=90.00 beta=90.00 gamma=90.00
Closest atoms and distances in Å follow each position.
Fractional coordinates of all 10 atoms:
Na  0.0000  0.0000  0.0000  4 As 2.99, 8 P 3.30
Na  0.5000  0.5000  0.0000  4 As 2.99, 8 P 3.30
As  0.1554  0.3446  0.0000  2 P 2.30
As  0.3446  0.8446  0.0000  2 P 2.30
As  0.6554  0.1554  0.0000  2 P 2.30
As  0.8446  0.6554  0.0000  2 P 2.30
P  0.2045  0.7045  0.5000  2 As 2.30
P  0.2955  0.2045  0.5000  2 As 2.30
P  0.7045  0.7955  0.5000  2 As 2.30
P  0.7955  0.2955  0.5000  2 As 2.30